(1)
# CsSc2Au | Alexandria via LeMat-Bulk | meta-GGA SCAN | single point on PBEsol structure
# DFT formation energy   -0.051 eV/atom
# Density   5.94 Mg/m³
data_CsSc2Au
_chemical_formula_sum 'Cs3 Sc6 Au3'
_space_group_name_H-M_alt 'R -3 m'
_space_group_IT_number 166
_space_group_name_Hall '-R 3 2"'
_cell_length_a 3.5761
_cell_length_b 3.5761
_cell_length_c 31.7921
_cell_angle_alpha 90.00
_cell_angle_beta 90.00
_cell_angle_gamma 120.00
loop_
_atom_site_label
_atom_site_type_symbol
_atom_site_fract_x
_atom_site_fract_y
_atom_site_fract_z
_atom_site_occupancy
Cs1 Cs 0.0000 0.0000 0.0000 1
Sc1 Sc 0.0000 0.0000 0.1100 1
Au1 Au 0.0000 0.0000 0.5000 1

---

(2)
# BaAs4Ir | Alexandria via LeMat-Bulk | meta-GGA SCAN | single point on PBEsol structure
# DFT formation energy   0.393 eV/atom
# Density   8.28 Mg/m³
data_BaAs4Ir
_chemical_formula_sum 'Ba4 As16 Ir4'
_space_group_name_H-M_alt 'F -4 3 m'
_space_group_IT_number 216
_space_group_name_Hall 'F -4 2 3'
_cell_length_a 7.964
_cell_length_b 7.964
_cell_length_c 7.964
_cell_angle_alpha 90.00
_cell_angle_beta 90.00
_cell_angle_gamma 90.00
loop_
_atom_site_label
_atom_site_type_symbol
_atom_site_fract_x
_atom_site_fract_y
_atom_site_fract_z
_atom_site_occupancy
Ba1 Ba 0.000 0.000 0.000 1
As1 As 0.118 0.118 0.618 1
Ir1 Ir 0.250 0.250 0.250 1

---

(3)
# NaMg2TiRe | Alexandria via LeMat-Bulk | meta-GGA SCAN | single point on PBEsol structure
# DFT formation energy   2.117 eV/atom
# Density   4.47 Mg/m³
data_NaMg2TiRe
_chemical_formula_sum 'Na1 Mg2 Ti1 Re1'
_space_group_name_H-M_alt 'P 4/m m m'
_space_group_IT_number 123
_space_group_name_Hall '-P 4 2'
_cell_length_a 4.931
_cell_length_b 4.931
_cell_length_c 4.665
_cell_angle_alpha 90.00
_cell_angle_beta 90.00
_cell_angle_gamma 90.00
loop_
_atom_site_label
_atom_site_type_symbol
_atom_site_fract_x
_atom_site_fract_y
_atom_site_fract_z
_atom_site_occupancy
Na1 Na 0.000 0.000 0.000 1
Mg1 Mg 0.000 0.500 0.500 1
Ti1 Ti 0.000 0.000 0.500 1
Re1 Re 0.500 0.500 0.000 1

---

(4)
# KWOF2 | Alexandria via LeMat-Bulk | meta-GGA SCAN | single point on PBEsol structure
# Density   5.49 Mg/m³
# Formation energy without anion corrections   0.42 eV/atom
data_KWOF2
_chemical_formula_sum 'K1 W1 O1 F2'
_space_group_name_H-M_alt 'P 4/m m m'
_space_group_IT_number 123
_space_group_name_Hall '-P 4 2'
_cell_length_a 4.360
_cell_length_b 4.360
_cell_length_c 4.405
_cell_angle_alpha 90.00
_cell_angle_beta 90.00
_cell_angle_gamma 90.00
loop_
_atom_site_label
_atom_site_type_symbol
_atom_site_fract_x
_atom_site_fract_y
_atom_site_fract_z
_atom_site_occupancy
K1 K 0.000 0.000 0.000 1
W1 W 0.500 0.500 0.500 1
O1 O 0.000 0.000 0.500 1
F1 F 0.000 0.500 0.000 1

---

(5)
# Y2FeHg | Alexandria via LeMat-Bulk | meta-GGA SCAN | single point on PBEsol structure
# DFT formation energy   -0.143 eV/atom
# Density   8.23 Mg/m³
data_Y2FeHg
_chemical_formula_sum 'Y4 Fe2 Hg2'
_space_group_name_H-M_alt 'I m m 2'
_space_group_IT_number 44
_cell_length_a 3.364
_cell_length_b 4.838
_cell_length_c 10.770
_cell_angle_alpha 90.00
_cell_angle_beta 90.00
_cell_angle_gamma 90.00
loop_
_space_group_symop_operation_xyz
'x,y,z'
'-x,-y,z'
'-x,y,z'
'x,-y,z'
'x+1/2,y+1/2,z+1/2'
'-x+1/2,-y+1/2,z+1/2'
'-x+1/2,y+1/2,z+1/2'
'x+1/2,-y+1/2,z+1/2'
loop_
_atom_site_label
_atom_site_type_symbol
_atom_site_fract_x
_atom_site_fract_y
_atom_site_fract_z
_atom_site_occupancy
Y1 Y 0.000 0.000 0.000 1
Y2 Y 0.000 0.500 0.203 1
Fe1 Fe 0.000 0.000 0.476 1
Hg1 Hg 0.000 0.500 0.782 1

---

(6)
# RbCdSe2 | Alexandria via LeMat-Bulk | meta-GGA SCAN | single point on PBEsol structure
# Density   4.88 Mg/m³
# Formation energy without anion corrections   -0.71 eV/atom
data_RbCdSe2
_chemical_formula_sum 'Rb4 Cd4 Se8'
_space_group_name_H-M_alt 'I -4 2 d'
_space_group_IT_number 122
_space_group_name_Hall 'I -4 2bw'
_cell_length_a 7.968
_cell_length_b 7.968
_cell_length_c 7.624
_cell_angle_alpha 90.00
_cell_angle_beta 90.00
_cell_angle_gamma 90.00
loop_
_atom_site_label
_atom_site_type_symbol
_atom_site_fract_x
_atom_site_fract_y
_atom_site_fract_z
_atom_site_occupancy
Rb1 Rb 0.000 0.000 0.000 1
Cd1 Cd 0.000 0.000 0.500 1
Se1 Se 0.172 0.250 0.625 1

---

(7)
# AlInRe2 | Alexandria via LeMat-Bulk | meta-GGA SCAN | single point on PBEsol structure
# DFT formation energy   0.323 eV/atom
# Density   13.70 Mg/m³
# Relative energy among the computed polymorphs   0.000 eV per atom
data_AlInRe2
_chemical_formula_sum 'Al2 In2 Re4'
_space_group_name_H-M_alt 'I -4 m 2'
_space_group_IT_number 119
_space_group_name_Hall 'I -4 -2'
_cell_length_a 4.089
_cell_length_b 4.089
_cell_length_c 7.458
_cell_angle_alpha 90.00
_cell_angle_beta 90.00
_cell_angle_gamma 90.00
loop_
_atom_site_label
_atom_site_type_symbol
_atom_site_fract_x
_atom_site_fract_y
_atom_site_fract_z
_atom_site_occupancy
Al1 Al 0.000 0.000 0.000 1
In1 In 0.000 0.500 0.250 1
Re1 Re 0.000 0.000 0.500 1
Re2 Re 0.000 0.500 0.750 1

---

(8)
# MgBeTe2 | Alexandria via LeMat-Bulk | meta-GGA SCAN | single point on PBEsol structure
# Density   5.40 Mg/m³
# Relative energy among the computed polymorphs   0.339 eV per atom
# Formation energy without anion corrections   -0.34 eV/atom
data_MgBeTe2
_chemical_formula_sum 'Mg2 Be2 Te4'
_space_group_name_H-M_alt 'C 1 2/m 1'
_space_group_IT_number 12
_cell_length_a 6.806
_cell_length_b 3.925
_cell_length_c 7.022
_cell_angle_alpha 90.00
_cell_angle_beta 108.92
_cell_angle_gamma 90.00
loop_
_space_group_symop_operation_xyz
'x,y,z'
'-x,-y,-z'
'-x,y,-z'
'x,-y,z'
'x+1/2,y+1/2,z'
'-x+1/2,-y+1/2,-z'
'-x+1/2,y+1/2,-z'
'x+1/2,-y+1/2,z'
loop_
_atom_site_label
_atom_site_type_symbol
_atom_site_fract_x
_atom_site_fract_y
_atom_site_fract_z
_atom_site_occupancy
Mg1 Mg 0.000 0.000 0.000 1
Be1 Be 0.000 0.500 0.500 1
Te1 Te 0.239 0.000 0.719 1

---

(9)
# TlHg5 | Alexandria via LeMat-Bulk | meta-GGA SCAN | single point on PBEsol structure
# DFT formation energy   -0.002 eV/atom
# Density   13.74 Mg/m³
# Relative energy among the computed polymorphs   0.017 eV per atom
data_TlHg5
_chemical_formula_sum 'Tl1 Hg5'
_space_group_name_H-M_alt 'P 4/m m m'
_space_group_IT_number 123
_space_group_name_Hall '-P 4 2'
_cell_length_a 3.428
_cell_length_b 3.428
_cell_length_c 12.422
_cell_angle_alpha 90.00
_cell_angle_beta 90.00
_cell_angle_gamma 90.00
loop_
_atom_site_label
_atom_site_type_symbol
_atom_site_fract_x
_atom_site_fract_y
_atom_site_fract_z
_atom_site_occupancy
Tl1 Tl 0.000 0.000 0.000 1
Hg1 Hg 0.000 0.000 0.338 1
Hg2 Hg 0.500 0.500 0.179 1
Hg3 Hg 0.500 0.500 0.500 1

---

(10)
# LiSiCl | Alexandria via LeMat-Bulk | meta-GGA SCAN | single point on PBEsol structure
# Density   2.18 Mg/m³
# Formation energy without anion corrections   -0.24 eV/atom
data_LiSiCl
_chemical_formula_sum 'Li1 Si1 Cl1'
_space_group_name_H-M_alt 'P 3 m 1'
_space_group_IT_number 156
_cell_length_a 3.1600
_cell_length_b 3.1600
_cell_length_c 6.1971
_cell_angle_alpha 90.00
_cell_angle_beta 90.00
_cell_angle_gamma 120.00
loop_
_space_group_symop_operation_xyz
'x,y,z'
'-y,x-y,z'
'-x+y,-x,z'
'-y,-x,z'
'-x+y,y,z'
'x,x-y,z'
loop_
_atom_site_label
_atom_site_type_symbol
_atom_site_fract_x
_atom_site_fract_y
_atom_site_fract_z
_atom_site_occupancy
Li1 Li 0.0000 0.0000 0.0000 1
Si1 Si 0.3333 0.6667 0.6119 1
Cl1 Cl 0.6667 0.3333 0.2098 1

---

(11)
# HfNbIr2F | Alexandria via LeMat-Bulk | meta-GGA SCAN | single point on PBEsol structure
# Density   14.40 Mg/m³
# Formation energy without anion corrections   0.05 eV/atom
data_HfNbIr2F
_chemical_formula_sum 'Hf1 Nb1 Ir2 F1'
_space_group_name_H-M_alt 'P 4/m m m'
_space_group_IT_number 123
_space_group_name_Hall '-P 4 2'
_cell_length_a 4.394
_cell_length_b 4.394
_cell_length_c 4.032
_cell_angle_alpha 90.00
_cell_angle_beta 90.00
_cell_angle_gamma 90.00
loop_
_atom_site_label
_atom_site_type_symbol
_atom_site_fract_x
_atom_site_fract_y
_atom_site_fract_z
_atom_site_occupancy
Hf1 Hf 0.000 0.000 0.000 1
Nb1 Nb 0.500 0.500 0.000 1
Ir1 Ir 0.000 0.500 0.500 1
F1 F 0.000 0.000 0.500 1

---

(12)
# Ti2SiSb | Alexandria via LeMat-Bulk | meta-GGA SCAN | single point on PBEsol structure
# Density   6.02 Mg/m³
# Formation energy without anion corrections   -0.16 eV/atom
data_Ti2SiSb
_chemical_formula_sum 'Ti8 Si4 Sb4'
_space_group_name_H-M_alt 'F m -3 m'
_space_group_IT_number 225
_space_group_name_Hall '-F 4 2 3'
_cell_length_a 6.471
_cell_length_b 6.471
_cell_length_c 6.471
_cell_angle_alpha 90.00
_cell_angle_beta 90.00
_cell_angle_gamma 90.00
loop_
_atom_site_label
_atom_site_type_symbol
_atom_site_fract_x
_atom_site_fract_y
_atom_site_fract_z
_atom_site_occupancy
Ti1 Ti 0.250 0.250 0.250 1
Si1 Si 0.000 0.000 0.000 1
Sb1 Sb 0.000 0.000 0.500 1

---

(13)
# ReNi2Pt | Alexandria via LeMat-Bulk | meta-GGA SCAN | single point on PBEsol structure
# DFT formation energy   0.019 eV/atom
# Density   16.25 Mg/m³
# Relative energy among the computed polymorphs   0.085 eV per atom
data_ReNi2Pt
_chemical_formula_sum 'Re1 Ni2 Pt1'
_space_group_name_H-M_alt 'P 1 2/m 1'
_space_group_IT_number 10
_cell_length_a 4.477
_cell_length_b 2.633
_cell_length_c 4.639
_cell_angle_alpha 90.00
_cell_angle_beta 111.20
_cell_angle_gamma 90.00
loop_
_space_group_symop_operation_xyz
'x,y,z'
'-x,-y,-z'
'-x,y,-z'
'x,-y,z'
loop_
_atom_site_label
_atom_site_type_symbol
_atom_site_fract_x
_atom_site_fract_y
_atom_site_fract_z
_atom_site_occupancy
Re1 Re 0.000 0.000 0.000 1
Ni1 Ni 0.500 0.000 0.500 1
Ni2 Ni 0.500 0.500 0.000 1
Pt1 Pt 0.000 0.500 0.500 1

---

(14)
# ZrTi3O | Alexandria via LeMat-Bulk | meta-GGA SCAN | single point on PBEsol structure
# Density   5.64 Mg/m³
# Relative energy among the computed polymorphs   0.000 eV per atom
# Formation energy without anion corrections   -1.15 eV/atom
data_ZrTi3O
_chemical_formula_sum 'Zr1 Ti3 O1'
_space_group_name_H-M_alt 'P m -3 m'
_space_group_IT_number 221
_space_group_name_Hall '-P 4 2 3'
_cell_length_a 4.196
_cell_length_b 4.196
_cell_length_c 4.196
_cell_angle_alpha 90.00
_cell_angle_beta 90.00
_cell_angle_gamma 90.00
loop_
_atom_site_label
_atom_site_type_symbol
_atom_site_fract_x
_atom_site_fract_y
_atom_site_fract_z
_atom_site_occupancy
Zr1 Zr 0.000 0.000 0.000 1
Ti1 Ti 0.000 0.500 0.500 1
O1 O 0.500 0.500 0.500 1

---

(15)
# TaIrOs | Alexandria via LeMat-Bulk | meta-GGA SCAN | single point on PBEsol structure
# DFT formation energy   0.092 eV/atom
# Density   17.55 Mg/m³
# Relative energy among the computed polymorphs   0.353 eV per atom
data_TaIrOs
_chemical_formula_sum 'Ta4 Ir4 Os4'
_space_group_name_H-M_alt 'F -4 3 m'
_space_group_IT_number 216
_space_group_name_Hall 'F -4 2 3'
_cell_length_a 5.974
_cell_length_b 5.974
_cell_length_c 5.974
_cell_angle_alpha 90.00
_cell_angle_beta 90.00
_cell_angle_gamma 90.00
loop_
_atom_site_label
_atom_site_type_symbol
_atom_site_fract_x
_atom_site_fract_y
_atom_site_fract_z
_atom_site_occupancy
Ta1 Ta 0.000 0.000 0.000 1
Ir1 Ir 0.250 0.250 0.750 1
Os1 Os 0.250 0.250 0.250 1

---

(16)
# YPSe2 | Alexandria via LeMat-Bulk | meta-GGA SCAN | single point on PBEsol structure
# Density   4.74 Mg/m³
# Formation energy without anion corrections   -0.84 eV/atom
data_YPSe2
_chemical_formula_sum 'Y3 P3 Se6'
_space_group_name_H-M_alt 'R 3 m'
_space_group_IT_number 160
_space_group_name_Hall 'R 3 -2"'
_cell_length_a 4.1215
_cell_length_b 4.1215
_cell_length_c 19.8648
_cell_angle_alpha 90.00
_cell_angle_beta 90.00
_cell_angle_gamma 120.00
loop_
_atom_site_label
_atom_site_type_symbol
_atom_site_fract_x
_atom_site_fract_y
_atom_site_fract_z
_atom_site_occupancy
Y1 Y 0.0000 0.0000 0.0000 1
P1 P 0.0000 0.0000 0.7595 1
Se1 Se 0.0000 0.0000 0.2606 1
Se2 Se 0.0000 0.0000 0.4541 1

---

(17)
# Ca5VN5 | Alexandria via LeMat-Bulk | meta-GGA SCAN | single point on PBEsol structure
# Density   3.23 Mg/m³
# Formation energy without anion corrections   -1.31 eV/atom
data_Ca5VN5
_chemical_formula_sum 'Ca20 V4 N20'
_space_group_name_H-M_alt 'P b c m'
_space_group_IT_number 57
_cell_length_a 5.981
_cell_length_b 16.452
_cell_length_c 6.710
_cell_angle_alpha 90.00
_cell_angle_beta 90.00
_cell_angle_gamma 90.00
loop_
_space_group_symop_operation_xyz
'x,y,z'
'-x,-y,-z'
'-x,-y,z+1/2'
'x,y,-z+1/2'
'x,-y+1/2,-z'
'-x,y+1/2,z'
'-x,y+1/2,-z+1/2'
'x,-y+1/2,z+1/2'
loop_
_atom_site_label
_atom_site_type_symbol
_atom_site_fract_x
_atom_site_fract_y
_atom_site_fract_z
_atom_site_occupancy
Ca1 Ca 0.014 0.237 0.250 1
Ca2 Ca 0.210 0.075 0.008 1
Ca3 Ca 0.311 0.582 0.250 1
Ca4 Ca 0.454 0.750 0.000 1
V1 V 0.212 0.594 0.750 1
N1 N 0.016 0.511 0.750 1
N2 N 0.139 0.655 0.530 1
N3 N 0.365 0.174 0.250 1
N4 N 0.493 0.552 0.750 1

---

(18)
# CaTa2P | Alexandria via LeMat-Bulk | meta-GGA SCAN | single point on PBEsol structure
# DFT formation energy   0.012 eV/atom
# Density   8.39 Mg/m³
# Relative energy among the computed polymorphs   0.000 eV per atom
data_CaTa2P
_chemical_formula_sum 'Ca2 Ta4 P2'
_space_group_name_H-M_alt 'C 1 m 1'
_space_group_IT_number 8
_cell_length_a 8.661
_cell_length_b 3.263
_cell_length_c 6.433
_cell_angle_alpha 90.00
_cell_angle_beta 109.51
_cell_angle_gamma 90.00
loop_
_space_group_symop_operation_xyz
'x,y,z'
'x,-y,z'
'x+1/2,y+1/2,z'
'x+1/2,-y+1/2,z'
loop_
_atom_site_label
_atom_site_type_symbol
_atom_site_fract_x
_atom_site_fract_y
_atom_site_fract_z
_atom_site_occupancy
Ca1 Ca 0.000 0.000 0.000 1
Ta1 Ta 0.081 0.500 0.548 1
Ta2 Ta 0.315 0.500 0.348 1
P1 P 0.317 0.000 0.649 1

---

(19)
# ZnFeCu2 | Alexandria via LeMat-Bulk | meta-GGA SCAN | single point on PBEsol structure
# DFT formation energy   0.065 eV/atom
# Density   8.73 Mg/m³
data_ZnFeCu2
_chemical_formula_sum 'Zn2 Fe2 Cu4'
_space_group_name_H-M_alt 'I m m 2'
_space_group_IT_number 44
_cell_length_a 2.607
_cell_length_b 4.263
_cell_length_c 8.506
_cell_angle_alpha 90.00
_cell_angle_beta 90.00
_cell_angle_gamma 90.00
loop_
_space_group_symop_operation_xyz
'x,y,z'
'-x,-y,z'
'-x,y,z'
'x,-y,z'
'x+1/2,y+1/2,z+1/2'
'-x+1/2,-y+1/2,z+1/2'
'-x+1/2,y+1/2,z+1/2'
'x+1/2,-y+1/2,z+1/2'
loop_
_atom_site_label
_atom_site_type_symbol
_atom_site_fract_x
_atom_site_fract_y
_atom_site_fract_z
_atom_site_occupancy
Zn1 Zn 0.000 0.000 0.000 1
Fe1 Fe 0.000 0.500 0.245 1
Cu1 Cu 0.000 0.000 0.493 1
Cu2 Cu 0.000 0.500 0.748 1

---

(20)
# TlZn2Au2 | Alexandria via LeMat-Bulk | meta-GGA SCAN | single point on PBEsol structure
# DFT formation energy   -0.157 eV/atom
# Density   12.78 Mg/m³
# Relative energy among the computed polymorphs   0.000 eV per atom
data_TlZn2Au2
_chemical_formula_sum 'Tl2 Zn4 Au4'
_space_group_name_H-M_alt 'I 4/m m m'
_space_group_IT_number 139
_space_group_name_Hall '-I 4 2'
_cell_length_a 3.866
_cell_length_b 3.866
_cell_length_c 12.675
_cell_angle_alpha 90.00
_cell_angle_beta 90.00
_cell_angle_gamma 90.00
loop_
_atom_site_label
_atom_site_type_symbol
_atom_site_fract_x
_atom_site_fract_y
_atom_site_fract_z
_atom_site_occupancy
Tl1 Tl 0.000 0.000 0.000 1
Zn1 Zn 0.000 0.500 0.250 1
Au1 Au 0.000 0.000 0.389 1